[1]
LaAgTe2 | meta-GGA SCAN | single point on PBEsol structure

## Properties
- M_tot (μB/cell) = 0.0
- total energy (eV per atom) = -38.2753

abc: 4.557 4.557 7.131
angles: 71.20 71.20 59.94
Fractional coordinates of all 4 atoms:
Te 0.758 0.758 0.229
Te 0.242 0.242 0.771
Ag 0.500 0.500 0.000
La 0.000 0.000 0.500



[2]
NbSb2PdI | meta-GGA SCAN | single point on PBEsol structure

## Properties
- M_tot (μB/cell) = 0.0
- ΔE to the lowest computed polymorph (meV per atom) = 0

abc: 5.289 5.289 5.335
angles: 90.00 90.00 90.00
Fractional coordinates of all 5 atoms:
Pd 0.500 0.500 0.500
Sb 0.000 0.500 0.000
Sb 0.500 0.000 0.000
Nb 0.000 0.000 0.000
I 0.000 0.000 0.500



[3]
LaAgAu | meta-GGA SCAN | single point on PBEsol structure

## Properties
- M_tot (μB/cell) = 0.0
- ΔE to the lowest computed polymorph (meV per atom) = 257

abc: 4.780 4.780 4.780
angles: 60.00 60.00 60.00
Fractional coordinates of all 3 atoms:
Ag 0.250 0.250 0.250
La 0.500 0.500 0.500
Au 0.000 0.000 0.000



[4]
LaIn3 | meta-GGA SCAN | single point on PBEsol structure

## Properties
- M_tot (μB/cell) = 0.0
- total energy (eV per atom) = -36.3439

abc: 6.113 6.598 15.654
angles: 90.00 90.00 90.00
Fractional coordinates of all 24 atoms:
In 0.831 0.000 0.319
In 0.453 0.500 0.500
In 0.936 0.718 0.000
In 0.064 0.782 0.500
In 0.169 0.500 0.181
In 0.657 0.736 0.169
In 0.343 0.764 0.669
In 0.169 0.500 0.819
In 0.831 0.000 0.681
In 0.936 0.282 0.000
In 0.064 0.218 0.500
In 0.657 0.264 0.169
In 0.657 0.264 0.831
In 0.343 0.236 0.669
In 0.343 0.236 0.331
In 0.343 0.764 0.331
In 0.547 0.000 0.000
In 0.657 0.736 0.831
La 0.154 0.000 0.851
La 0.424 0.500 0.000
La 0.846 0.500 0.649
La 0.154 0.000 0.149
La 0.846 0.500 0.351
La 0.576 0.000 0.500



[5]
AgH2Pt | meta-GGA SCAN | single point on PBEsol structure

## Properties
- M_tot (μB/cell) = 0.0
- total energy (eV per atom) = -27.0216

abc: 4.266 4.266 5.345
angles: 113.52 113.52 90.00
Fractional coordinates of all 8 atoms:
Pt 0.000 0.000 0.000
Pt 0.250 0.750 0.500
H 0.323 0.875 0.250
H 0.625 0.677 0.750
H 0.927 0.375 0.250
H 0.125 0.073 0.750
Ag 0.750 0.250 0.500
Ag 0.500 0.500 0.000



[6]
SrSbPt | meta-GGA SCAN | single point on PBEsol structure

## Properties
- M_tot (μB/cell) = 0.0
- total energy (eV per atom) = -44.3821

abc: 4.509 4.509 4.443
angles: 90.00 90.00 120.00
Fractional coordinates of all 3 atoms:
Sr 0.667 0.333 0.500
Pt 0.000 0.000 0.000
Sb 0.333 0.667 0.000



[7]
AsPtRh2 | meta-GGA SCAN | single point on PBEsol structure

## Properties
- M_tot (μB/cell) = 0.0
- total energy (eV per atom) = -39.5772

abc: 2.786 4.547 4.547
angles: 90.00 90.00 90.00
Fractional coordinates of all 4 atoms:
Rh 0.000 0.500 0.000
Rh 0.000 0.000 0.500
As 0.500 0.500 0.500
Pt 0.500 0.000 0.000



[8]
InPBr3 | meta-GGA SCAN | single point on PBEsol structure

## Properties
- M_tot (μB/cell) = 0.0
- total energy (eV per atom) = -20.6351

abc: 5.155 5.155 5.155
angles: 90.00 90.00 90.00
Fractional coordinates of all 5 atoms:
In 0.500 0.500 0.500
Br 0.500 0.000 0.000
Br 0.000 0.500 0.000
Br 0.000 0.000 0.500
P 0.000 0.000 0.000